# Li2Ac4Ir

An optimized crystal structure of Li2Ac4Ir (GGA-PBE, the Alexandria database).

Calculated values
* VASP energy: -29.5 eV/cell
* calculated density: 6.542 g/cm³
* symmetry: No. 139
* total magnetization: 0.53 μB/f.u.

Cell and atoms, written as POSCAR:
```
Li2Ac4Ir
1.0
-2.910 2.910 8.350
2.910 -2.910 8.350
2.910 2.910 -8.350
Li Ac Ir
2 4 1
direct
0.120 0.120 0.000
0.880 0.880 0.000
0.000 0.500 0.500
0.322 0.322 0.000
0.500 0.000 0.500
0.678 0.678 0.000
0.500 0.500 0.000
```